1.
A plane-wave DFT calculation with PBE was carried out for a relaxed Tb2Sm2Er2Mg crystal.

## Properties
Spin magnetization (μB per atom): 0.000
Energy relative to the elements (eV/atom): 0.091

abc: 12.032 3.636 11.523
angles: 90.00 117.97 90.00
Space group C2/m (No. 12)
Symmetry-distinct sites (fractional):
Tb 0.249 0.000 0.131
Sm 0.031 0.000 0.246
Er 0.179 0.000 0.585
Mg 0.000 0.500 0.000

***

2.
A plane-wave DFT calculation with PBE was carried out for a relaxed TbSm4Er2Mg crystal.

## Properties
Spin magnetization (μB per atom): 0.000
Energy relative to the elements (eV/atom): 0.010

abc: 5.025 5.025 9.942
angles: 90.00 90.00 90.00
Space group P4/mmm (No. 123)
Symmetry-distinct sites (fractional):
Tb 0.000 0.000 0.000
Sm 0.000 0.500 0.254
Er 0.000 0.000 0.500
Er 0.500 0.500 0.000
Mg 0.500 0.500 0.500